Below is crystalline K3RbCr at its relaxed geometry, with properties calculated at the GGA-PBE level.

abc: 6.972 6.972 6.972
angles: 90.00 90.00 90.00
Sites, in units of the cell vectors:
K1 0.000 0.000 0.500
K2 0.000 0.500 0.000
K3 0.500 0.000 0.000
Rb1 0.500 0.500 0.500
Cr1 0.000 0.000 0.000

DOS(E_F) = 0.718 states/eV per atom
VASP energy = -0.16437 Ry per atom
crystal system = cubic
energy relative to the lowest polymorph listed for this composition = 0.0000 eV per atom
energy relative to the elements = 0.5403 eV/atom